The following is a DFT calculation (PBE with a Hubbard U) of a geometry-optimized LiV2O6 structure.

Cell and atoms, written as POSCAR:
```
LiV2O6
1.0
3.658 0.000 0.000
1.829 4.879 -0.033
1.829 2.023 6.072
Li V O
1 2 6
Cartesian
1.829 3.451 3.019
3.658 5.346 5.149
3.658 1.557 0.890
5.487 5.095 5.629
1.829 1.807 0.410
5.487 4.705 1.117
3.658 4.689 3.627
1.829 2.198 4.922
3.658 2.213 2.412
```

calculated volume	12.07	Å³/atom
ΔE to the lowest computed polymorph	0.012	eV/atom